Record 1
DFT (PBE) results for crystalline ZrReRh2 at its relaxed geometry. Values from VASP.

```
&SYSTEM
  ibrav = 0, nat = 4, ntyp = 3
/
ATOMIC_SPECIES
Rh 102.91 Rh.upf
Re 186.21 Re.upf
Zr 91.22 Zr.upf
CELL_PARAMETERS angstrom
-2.776 -1.337 -1.199
1.688 -2.697 -0.899
-1.116 -2.481 5.348
ATOMIC_POSITIONS crystal
Rh 0.000 0.000 0.978
Rh 0.500 0.500 0.249
Re 0.500 0.500 0.786
Zr 0.000 0.000 0.486
```

## Properties
V in Å³/cell: 65.6
Crystal system: tetragonal
Fermi-level density of states in states/eV per atom: 1.245
Polymorph energy (0 for the lowest one) in eV/f.u.: 0.66

Record 2
DFT (PBE) results for crystalline Tb2TiPd9 at its relaxed geometry. Values from VASP.

```
&SYSTEM
  ibrav = 0, nat = 12, ntyp = 3
/
ATOMIC_SPECIES
Pd 106.42 Pd.upf
Tb 158.93 Tb.upf
Ti 47.87 Ti.upf
CELL_PARAMETERS angstrom
-2.942 -1.812 -2.140
-1.961 -0.888 3.447
-6.012 10.582 -0.695
ATOMIC_POSITIONS crystal
Pd 0.500 0.500 0.000
Pd 0.000 0.500 0.848
Pd 0.500 0.000 0.848
Pd 0.500 0.000 0.152
Pd 0.000 0.500 0.152
Pd 0.500 0.500 0.326
Pd 0.500 0.500 0.674
Pd 0.000 0.500 0.500
Pd 0.500 0.000 0.500
Tb 0.000 0.000 0.329
Tb 0.000 0.000 0.671
Ti 0.000 0.000 0.000
```

## Properties
V in Å³/cell: 201.3
Crystal system: tetragonal
Fermi-level density of states in states/eV per atom: 0.677
Calculated total energy in eV per atom: -6.115